(1)
A plane-wave DFT calculation with PBE was carried out for a relaxed structure of CuNiHg.

Cell: 5.285 5.285 3.011 Å, 73.45 73.45 33.09°
Sites, in units of the cell vectors:
Cu  0.982  0.982  0.018
Hg  0.669  0.669  0.331
Ni  0.349  0.349  0.651

Values from the calculation:
total DFT energy (no corrections)	-3.200	eV/atom
DFT formation energy	0.19	eV/atom
total moment	0.00	Bohr magnetons per cell

(2)
A plane-wave DFT calculation with PBE was carried out for a relaxed structure of CuNiHg2.

Cell: 4.193 3.146 5.370 Å, 71.47 90.00 90.00°
Sites, in units of the cell vectors:
Cu  0.500  0.550  0.766
Hg  0.000  0.963  0.935
Hg  0.500  0.285  0.321
Ni  0.000  0.702  0.478

Values from the calculation:
total DFT energy (no corrections)	-2.391	eV/atom
DFT formation energy	0.23	eV/atom
total moment	0.00	Bohr magnetons per cell

(3)
A plane-wave DFT calculation with PBE was carried out for a relaxed structure of CuNiHg.

Cell: 4.167 4.167 4.167 Å, 60.00 60.00 60.00°
Sites, in units of the cell vectors:
Cu  0.000  0.000  0.000
Ni  0.250  0.250  0.250
Hg  0.500  0.500  0.500

Values from the calculation:
total DFT energy (no corrections)	-3.022	eV/atom
DFT formation energy	0.37	eV/atom
total moment	0.00	Bohr magnetons per cell

(4)
A plane-wave DFT calculation with PBE was carried out for a relaxed structure of CuNiHg2.

Cell: 5.229 5.229 4.599 Å, 74.07 74.07 33.49°
Sites, in units of the cell vectors:
Cu  0.220  0.220  0.231
Hg  0.984  0.984  0.050
Hg  0.772  0.772  0.690
Ni  0.523  0.523  0.529

Values from the calculation:
total DFT energy (no corrections)	-2.400	eV/atom
DFT formation energy	0.22	eV/atom
total moment	0.00	Bohr magnetons per cell

(5)
A plane-wave DFT calculation with PBE was carried out for a relaxed structure of Cu2NiHg.

Cell: 4.694 4.694 4.694 Å, 132.26 132.26 69.81°
Sites, in units of the cell vectors:
Cu  0.000  0.000  0.000
Cu  0.500  0.500  0.000
Hg  0.250  0.750  0.500
Ni  0.750  0.250  0.500

Values from the calculation:
total DFT energy (no corrections)	-3.426	eV/atom
DFT formation energy	0.14	eV/atom
total moment	0.00	Bohr magnetons per cell

(6)
A plane-wave DFT calculation with PBE was carried out for a relaxed structure of Cu2NiHg.

Cell: 4.294 4.294 4.294 Å, 60.00 60.00 60.00°
Sites, in units of the cell vectors:
Cu  0.000  0.000  0.000
Cu  0.250  0.250  0.250
Hg  0.500  0.500  0.500
Ni  0.750  0.750  0.750

Values from the calculation:
total DFT energy (no corrections)	-3.393	eV/atom
DFT formation energy	0.18	eV/atom
total moment	0.00	Bohr magnetons per cell

(7)
A plane-wave DFT calculation with PBE was carried out for a relaxed structure of Cu2NiHg.

Cell: 8.759 8.759 8.759 Å, 18.33 18.33 18.33°
Sites, in units of the cell vectors:
Cu  0.009  0.009  0.009
Cu  0.491  0.491  0.491
Hg  0.250  0.250  0.250
Ni  0.750  0.750  0.750

Values from the calculation:
total DFT energy (no corrections)	-3.303	eV/atom
DFT formation energy	0.27	eV/atom
total moment	0.00	Bohr magnetons per cell

(8)
A plane-wave DFT calculation with PBE was carried out for a relaxed structure of Cu2NiHg.

Cell: 3.663 3.663 9.446 Å, 78.82 78.82 90.00°
Sites, in units of the cell vectors:
Ni  0.500  0.500  0.000
Ni  0.250  0.750  0.500
Hg  0.000  0.000  0.000
Hg  0.750  0.250  0.500
Cu  0.604  0.125  0.250
Cu  0.146  0.625  0.250
Cu  0.375  0.396  0.750
Cu  0.875  0.854  0.750

Values from the calculation:
total DFT energy (no corrections)	-3.207	eV/atom
DFT formation energy	0.36	eV/atom
total moment	0.00	Bohr magnetons per cell

(9)
A plane-wave DFT calculation with PBE was carried out for a relaxed structure of CuNiHg.

Cell: 4.149 4.149 4.149 Å, 60.00 60.00 60.00°
Sites, in units of the cell vectors:
Cu  0.750  0.750  0.750
Hg  0.000  0.000  0.000
Ni  0.500  0.500  0.500

Values from the calculation:
total DFT energy (no corrections)	-2.984	eV/atom
DFT formation energy	0.41	eV/atom
total moment	0.00	Bohr magnetons per cell

(10)
A plane-wave DFT calculation with PBE was carried out for a relaxed structure of Cu2NiHg.

Cell: 3.064 3.064 5.980 Å, 90.00 90.00 90.00°
Sites, in units of the cell vectors:
Cu  0.000  0.000  0.960
Cu  0.000  0.000  0.540
Hg  0.500  0.500  0.250
Ni  0.500  0.500  0.750

Values from the calculation:
total DFT energy (no corrections)	-3.407	eV/atom
DFT formation energy	0.16	eV/atom
total moment	0.00	Bohr magnetons per cell

(11)
A plane-wave DFT calculation with PBE was carried out for a relaxed structure of Cu2NiHg.

Cell: 4.645 4.645 4.645 Å, 131.14 131.10 71.63°
Sites, in units of the cell vectors:
Cu  0.000  0.000  0.000
Cu  0.250  0.750  0.500
Hg  0.500  0.500  0.000
Ni  0.750  0.250  0.500

Values from the calculation:
total DFT energy (no corrections)	-3.425	eV/atom
DFT formation energy	0.14	eV/atom
total moment	0.00	Bohr magnetons per cell

(12)
A plane-wave DFT calculation with PBE was carried out for a relaxed structure of Cu2NiHg.

Cell: 8.500 8.500 8.500 Å, 19.18 19.18 19.18°
Sites, in units of the cell vectors:
Cu  0.001  0.001  0.001
Cu  0.258  0.258  0.258
Hg  0.499  0.499  0.499
Ni  0.743  0.743  0.743

Values from the calculation:
total DFT energy (no corrections)	-3.292	eV/atom
DFT formation energy	0.28	eV/atom
total moment	0.00	Bohr magnetons per cell